No. 1
Compound: TaSnW2
Source: OQMD via LeMat-Bulk
Functional: PBE
Structure: relaxed

Cell: 4.6411 4.6411 4.6411 Å, 60.00 60.00 60.00°
With the nearest neighbours (Å) after each atom.
Fractional positions:
Ta (0.0000, 0.0000, 0.0000)  4 Sn 2.84, 4 W 2.84
Sn (0.7500, 0.7500, 0.7500)  4 Ta 2.84, 4 W 2.84
W (0.2500, 0.2500, 0.2500)  4 Ta 2.84, 4 W 2.84
W (0.5000, 0.5000, 0.5000)  4 Sn 2.84, 4 W 2.84

Results
For the magnetization, the calculation gives 0.0 Bohr magnetons per cell. The calculated volume comes out at 17.67 A^3/atom. The final energy comes out at -10.03 eV/atom. The space group is F-43m.

***

No. 2
Compound: Ta2SnW
Source: OQMD via LeMat-Bulk
Functional: PBE
Structure: relaxed

Cell: 4.6889 4.6889 4.6889 Å, 60.00 60.00 60.00°
With the nearest neighbours (Å) after each atom.
Fractional positions:
Ta (0.0000, 0.0000, 0.0000)  4 Ta 2.87, 4 W 2.87
Ta (0.2500, 0.2500, 0.2500)  4 Ta 2.87, 4 Sn 2.87
Sn (0.5000, 0.5000, 0.5000)  4 Ta 2.87, 4 W 2.87
W (0.7500, 0.7500, 0.7500)  4 Ta 2.87, 4 Sn 2.87

Results
For the magnetization, the calculation gives 0.1 Bohr magnetons per cell. The calculated volume comes out at 18.22 A^3/atom. The final energy comes out at -9.87 eV/atom. The space group is F-43m.

***

No. 3
Compound: YTaSn
Source: OQMD via LeMat-Bulk
Functional: PBE
Structure: relaxed

Cell: 4.8231 4.8231 4.8231 Å, 60.00 60.00 60.00°
With the nearest neighbours (Å) after each atom.
Fractional positions:
Y (0.0000, 0.0000, 0.0000)  4 Sn 2.95
Ta (0.5000, 0.5000, 0.5000)  4 Sn 2.95
Sn (0.7500, 0.7500, 0.7500)  4 Ta 2.95, 4 Y 2.95

Results
For the magnetization, the calculation gives 1.0 Bohr magnetons per cell. The calculated volume comes out at 26.44 A^3/atom. The final energy comes out at -7.09 eV/atom. The space group is F-43m.

***

No. 4
Compound: Y2TaSn
Source: OQMD via LeMat-Bulk
Functional: PBE
Structure: relaxed

Cell: 5.1249 5.1249 5.1249 Å, 60.00 60.00 60.00°
With the nearest neighbours (Å) after each atom.
Fractional positions:
Y (0.0000, 0.0000, 0.0000)  4 Ta 3.14, 4 Y 3.14
Y (0.2500, 0.2500, 0.2500)  4 Sn 3.14, 4 Y 3.14
Ta (0.7500, 0.7500, 0.7500)  4 Sn 3.14, 4 Y 3.14
Sn (0.5000, 0.5000, 0.5000)  4 Y 3.14, 4 Ta 3.14

Results
For the magnetization, the calculation gives 1.0 Bohr magnetons per cell. The calculated volume comes out at 23.80 A^3/atom. The final energy comes out at -7.07 eV/atom. The space group is F-43m.

***

No. 5
Compound: Ta2ZnSn
Source: OQMD via LeMat-Bulk
Functional: PBE
Structure: relaxed

Cell: 4.7054 4.7054 4.7054 Å, 60.00 60.00 60.00°
With the nearest neighbours (Å) after each atom.
Fractional positions:
Ta (0.0000, 0.0000, 0.0000)  4 Zn 2.88, 4 Ta 2.88
Ta (0.2500, 0.2500, 0.2500)  4 Ta 2.88, 4 Sn 2.88
Zn (0.7500, 0.7500, 0.7500)  4 Ta 2.88, 4 Sn 2.88
Sn (0.5000, 0.5000, 0.5000)  4 Zn 2.88, 4 Ta 2.88

Results
For the magnetization, the calculation gives 0.0 Bohr magnetons per cell. The calculated volume comes out at 18.42 A^3/atom. The final energy comes out at -6.84 eV/atom. The space group is F-43m.

***

No. 6
Compound: Ta2ZnSn
Source: OQMD via LeMat-Bulk
Functional: PBE
Structure: relaxed

Cell: 3.3755 4.5990 4.6118 Å, 90.00 90.00 90.00°
With the nearest neighbours (Å) after each atom.
Fractional positions:
Ta (0.0000, 0.0000, 0.0000)  4 Ta 2.85, 4 Sn 2.86
Ta (0.5000, 0.5000, 0.0000)  4 Ta 2.85, 4 Zn 2.86
Zn (0.0000, 0.5000, 0.5000)  4 Sn 2.85, 4 Ta 2.86
Sn (0.5000, 0.0000, 0.5000)  4 Zn 2.85, 4 Ta 2.86

Results
For the magnetization, the calculation gives 0.0 Bohr magnetons per cell. The calculated volume comes out at 17.90 A^3/atom. The final energy comes out at -7.13 eV/atom. The space group is Pmmm.

***

No. 7
Compound: TaZnSn2
Source: OQMD via LeMat-Bulk
Functional: PBE
Structure: relaxed

Cell: 4.9464 4.9464 4.9464 Å, 60.00 60.00 60.00°
With the nearest neighbours (Å) after each atom.
Fractional positions:
Ta (0.0000, 0.0000, 0.0000)  4 Sn 3.03, 4 Zn 3.03
Zn (0.7500, 0.7500, 0.7500)  4 Sn 3.03, 4 Ta 3.03
Sn (0.2500, 0.2500, 0.2500)  4 Ta 3.03, 4 Sn 3.03
Sn (0.5000, 0.5000, 0.5000)  4 Zn 3.03, 4 Sn 3.03

Results
For the magnetization, the calculation gives 1.0 Bohr magnetons per cell. The calculated volume comes out at 21.39 A^3/atom. The final energy comes out at -4.65 eV/atom. The space group is F-43m.

***

No. 8
Compound: Zr2TaSn
Source: OQMD via LeMat-Bulk
Functional: PBE
Structure: relaxed

Cell: 4.9053 4.9053 4.9053 Å, 60.00 60.00 60.00°
With the nearest neighbours (Å) after each atom.
Fractional positions:
Zr (0.0000, 0.0000, 0.0000)  4 Ta 3.00, 4 Zr 3.00
Zr (0.2500, 0.2500, 0.2500)  4 Sn 3.00, 4 Zr 3.00
Ta (0.7500, 0.7500, 0.7500)  4 Sn 3.00, 4 Zr 3.00
Sn (0.5000, 0.5000, 0.5000)  4 Ta 3.00, 4 Zr 3.00

Results
For the magnetization, the calculation gives 0.0 Bohr magnetons per cell. The calculated volume comes out at 20.87 A^3/atom. The final energy comes out at -8.26 eV/atom. The space group is F-43m.

***

No. 9
Compound: Tb11Sn10
Source: OQMD via LeMat-Bulk
Functional: PBE
Structure: relaxed

Cell: 11.8786 11.8786 11.8786 Å, 121.19 121.19 87.96°
With the nearest neighbours (Å) after each atom.
Fractional positions:
Tb (0.0603, 0.3113, 0.7490)  5 Sn 3.09-3.45
Tb (0.1022, 0.4335, 0.3313)  7 Sn 3.08-3.30
Tb (0.1022, 0.7709, 0.6687)  7 Sn 3.08-3.30
Tb (0.1664, 0.1664, 0.0000)  9 Sn 3.40-3.81
Tb (0.2291, 0.8978, 0.3313)  7 Sn 3.08-3.30
Tb (0.3113, 0.0603, 0.7490)  5 Sn 3.09-3.45
Tb (0.3113, 0.5622, 0.2510)  5 Sn 3.09-3.45
Tb (0.3262, 0.3262, 0.6524)  3 Sn 2.93-3.25
Tb (0.3262, 0.6738, 0.0000)  3 Sn 2.93-3.25
Tb (0.4335, 0.1022, 0.3313)  7 Sn 3.08-3.30
Tb (0.4378, 0.6887, 0.7490)  5 Sn 3.09-3.45
Tb (0.5622, 0.3113, 0.2510)  5 Sn 3.09-3.45
Tb (0.5665, 0.8978, 0.6687)  7 Sn 3.08-3.30
Tb (0.6738, 0.3262, 0.0000)  3 Sn 2.93-3.25
Tb (0.6738, 0.6738, 0.3476)  3 Sn 2.93-3.25
Tb (0.6887, 0.4378, 0.7490)  5 Sn 3.09-3.45
Tb (0.6887, 0.9397, 0.2510)  5 Sn 3.09-3.45
Tb (0.7709, 0.1022, 0.6687)  7 Sn 3.08-3.30
Tb (0.8336, 0.8336, 0.0000)  9 Sn 3.40-3.81
Tb (0.8978, 0.2291, 0.3313)  7 Sn 3.08-3.30
Tb (0.8978, 0.5665, 0.6687)  7 Sn 3.08-3.30
Tb (0.9397, 0.6887, 0.2510)  5 Sn 3.09-3.45
Sn (0.0301, 0.0301, 0.4119)  2 Sn 2.92-3.26, 2 Tb 3.08
Sn (0.0301, 0.6182, 0.0000)  2 Sn 2.92-3.26, 2 Tb 3.08
Sn (0.1294, 0.1294, 0.2587)  4 Sn 3.02-3.26, 5 Tb 3.25-3.30
Sn (0.1294, 0.8706, 0.0000)  4 Sn 3.02-3.26, 5 Tb 3.25-3.30
Sn (0.1443, 0.5000, 0.6443)  6 Tb 2.93-3.12
Sn (0.2500, 0.7500, 0.5000)  8 Tb 3.09-3.20
Sn (0.3818, 0.3818, 0.4119)  2 Sn 2.92-3.26, 2 Tb 3.08
Sn (0.3818, 0.9699, 0.0000)  2 Sn 2.92-3.26, 2 Tb 3.08
Sn (0.3891, 0.3891, 0.0000)  8 Tb 3.22-3.44
Sn (0.5000, 0.1443, 0.6443)  6 Tb 2.93-3.12
Sn (0.5000, 0.8557, 0.3557)  6 Tb 2.93-3.12
Sn (0.6109, 0.6109, 0.0000)  8 Tb 3.22-3.44
Sn (0.6182, 0.0301, 0.0000)  2 Sn 2.92-3.26, 2 Tb 3.08
Sn (0.6182, 0.6182, 0.5881)  2 Sn 2.92-3.26, 2 Tb 3.08
Sn (0.7500, 0.2500, 0.5000)  8 Tb 3.09-3.20
Sn (0.8557, 0.5000, 0.3557)  6 Tb 2.93-3.12
Sn (0.8706, 0.1294, 0.0000)  4 Sn 3.02-3.26, 5 Tb 3.25-3.30
Sn (0.8706, 0.8706, 0.7413)  4 Sn 3.02-3.26, 5 Tb 3.25-3.30
Sn (0.9699, 0.3818, 0.0000)  2 Sn 2.92-3.26, 2 Tb 3.08
Sn (0.9699, 0.9699, 0.5881)  2 Sn 2.92-3.26, 2 Tb 3.08

Results
For the magnetization, the calculation gives 0.1 Bohr magnetons per cell. The calculated volume comes out at 27.69 A^3/atom. The final energy comes out at -5.08 eV/atom. The space group is I4/mmm.

***

No. 10
Compound: TbSn
Source: OQMD via LeMat-Bulk
Functional: PBE
Structure: relaxed

Cell: 3.5976 3.5976 4.9890 Å, 90.00 90.00 120.00°
With the nearest neighbours (Å) after each atom.
Fractional positions:
Tb (0.0000, 0.0000, 0.0000)  6 Sn 3.25, 6 Tb 3.60
Sn (0.3333, 0.6667, 0.5000)  6 Tb 3.25, 6 Sn 3.60

Results
For the magnetization, the calculation gives 0.1 Bohr magnetons per cell. The calculated volume comes out at 27.96 A^3/atom. The final energy comes out at -4.79 eV/atom. The space group is P-6m2.

***

No. 11
Compound: Tb2Sn
Source: OQMD via LeMat-Bulk
Functional: PBE
Structure: relaxed

Cell: 6.2564 6.2564 6.2564 Å, 60.00 60.00 60.00°
With the nearest neighbours (Å) after each atom.
Fractional positions:
Tb (0.0000, 0.0000, 0.0000)  6 Tb 3.13
Tb (0.0000, 0.0000, 0.5000)  6 Tb 3.13
Tb (0.0000, 0.5000, 0.0000)  6 Tb 3.13
Tb (0.5000, 0.0000, 0.0000)  6 Tb 3.13
Sn (0.3750, 0.3750, 0.3750)  12 Tb 3.67, 4 Sn 3.83
Sn (0.6250, 0.6250, 0.6250)  12 Tb 3.67, 4 Sn 3.83

Results
For the magnetization, the calculation gives 0.0 Bohr magnetons per cell. The calculated volume comes out at 28.86 A^3/atom. The final energy comes out at -4.40 eV/atom. The space group is Fd-3m.

***

No. 12
Compound: TbSn
Source: OQMD via LeMat-Bulk
Functional: PBE
Structure: relaxed

Cell: 4.9291 4.9291 4.9291 Å, 60.00 60.00 60.00°
With the nearest neighbours (Å) after each atom.
Fractional positions:
Tb (0.0000, 0.0000, 0.0000)  4 Sn 3.02
Sn (0.2500, 0.2500, 0.2500)  4 Tb 3.02

Results
For the magnetization, the calculation gives 0.1 Bohr magnetons per cell. The calculated volume comes out at 42.34 A^3/atom. The final energy comes out at -4.04 eV/atom. The space group is F-43m.

***

Q: Look up the magnetization of the eighth one.
A: 0.0 Bohr magnetons per cell

***

Q: What is the calculated volume in the third record?
A: 26.44 A^3/atom

***

Q: Look up the calculated volume of the eleventh one.
A: 28.86 A^3/atom